Record 1
Density functional theory data (PBE with a Hubbard U) for a geometry-optimized LiFeSiO4 structure.

a = 11.445 Å, b = 5.286 Å, c = 5.961 Å
α = 90.00°, β = 90.00°, γ = 90.00°
Space group Pna2_1 (No. 33)
Asymmetric unit:
1 Li 0.169 0.191 0.000
2 Fe 0.075 0.814 0.726
3 Si 0.086 0.687 0.235
4 O 0.041 0.165 0.759
5 O 0.064 0.380 0.210
6 O 0.153 0.790 0.008
7 O 0.164 0.747 0.462

## Properties
- offset from the most stable computed form (meV/atom) = 53

---

Record 2
Density functional theory data (PBE with a Hubbard U) for a geometry-optimized LiFeSiO4 structure.

a = 10.842 Å, b = 5.091 Å, c = 6.382 Å
α = 90.00°, β = 90.00°, γ = 90.00°
Space group Pna2_1 (No. 33)
Asymmetric unit:
1 Li 0.172 0.169 0.000
2 Fe 0.084 0.672 0.751
3 Si 0.165 0.167 0.497
4 O 0.084 0.242 0.286
5 O 0.109 0.305 0.712
6 O 0.163 0.846 0.526
7 O 0.193 0.775 0.969

## Properties
- offset from the most stable computed form (meV/atom) = 40